Sr2LiV2Si4O14 | PBE+U | optimized geometry

Space-group type: P1

Structure (POSCAR):
```
Sr2LiV2Si4O14
1.0
-4.521 -1.533 -2.649
3.842 -1.505 -5.895
-1.110 -7.725 0.888
O Sr V Li Si
14 2 2 1 4
direct
0.995 0.739 0.015
0.506 0.989 0.002
0.109 0.929 0.309
0.505 0.509 0.012
0.396 0.054 0.696
0.880 0.423 0.696
0.602 0.550 0.324
0.353 0.456 0.741
0.982 0.252 0.039
0.638 0.744 0.726
0.108 0.550 0.308
0.374 0.239 0.277
0.898 0.043 0.689
0.599 0.927 0.314
0.197 0.749 0.602
0.820 0.231 0.391
0.085 0.228 0.793
0.889 0.746 0.238
0.125 0.486 0.000
0.402 0.017 0.216
0.406 0.468 0.229
0.604 0.967 0.784
0.602 0.520 0.790
```

***

Sr2LiV2Si4O14 | PBE+U | optimized geometry

Space-group type: P1

Structure (POSCAR):
```
Sr2LiV2Si4O14
1.0
-5.260 1.077 -1.478
-2.724 -3.398 5.905
-3.607 6.120 4.106
O Si Sr V Li
14 4 2 2 1
direct
0.914 0.004 0.728
0.510 0.647 0.645
0.025 0.270 0.961
0.072 0.399 0.298
0.970 0.630 0.664
0.678 0.314 0.734
0.516 0.528 0.978
0.322 0.712 0.241
0.992 0.988 0.310
0.046 0.723 0.955
0.561 0.402 0.295
0.397 0.943 0.419
0.500 0.051 0.052
0.439 0.009 0.738
0.368 0.499 0.199
0.669 0.533 0.761
0.301 0.934 0.261
0.619 0.085 0.827
0.215 0.297 0.638
0.790 0.696 0.291
0.182 0.808 0.728
0.894 0.245 0.197
0.770 0.902 0.575
```

***

Sr2LiV2Si4O14 | PBE+U | optimized geometry

Space-group type: Pm

Structure (POSCAR):
```
Sr2LiV2Si4O14
1.0
-5.318 -1.541 4.502
3.679 -1.267 3.913
0.886 6.796 3.373
O Si Sr V Li
14 4 2 2 1
direct
0.763 0.505 0.000
0.000 0.571 0.712
0.193 0.201 0.314
0.686 0.826 0.698
0.500 0.999 0.012
0.000 0.994 0.972
0.807 0.201 0.314
0.692 0.318 0.710
0.500 0.459 0.256
0.314 0.826 0.698
0.805 0.699 0.297
0.237 0.505 0.000
0.308 0.318 0.710
0.195 0.699 0.297
0.229 0.554 0.786
0.727 0.467 0.213
0.273 0.467 0.213
0.771 0.554 0.786
0.000 0.074 0.669
0.500 0.915 0.365
0.000 0.988 0.204
0.500 0.057 0.793
0.000 0.564 0.448
```

***

Sr2LiV2Si4O14 | PBE+U | optimized geometry

Space-group type: Pm

Structure (POSCAR):
```
Sr2LiV2Si4O14
1.0
7.212 0.000 0.000
0.000 5.505 0.164
0.000 2.791 7.427
Si O Sr Li V
4 14 2 1 2
direct
0.229 0.358 0.219
0.275 0.632 0.777
0.725 0.632 0.777
0.771 0.358 0.219
0.500 0.990 0.992
0.233 0.496 0.997
0.195 0.927 0.705
0.500 0.653 0.734
0.000 0.345 0.272
0.195 0.446 0.678
0.690 0.063 0.300
0.767 0.496 0.997
0.805 0.927 0.705
0.316 0.560 0.304
0.805 0.446 0.678
0.684 0.560 0.304
0.310 0.063 0.300
0.000 0.990 0.023
0.500 0.215 0.613
0.000 0.785 0.373
0.000 0.687 0.987
0.000 0.153 0.774
0.500 0.862 0.216
```

***

Sr2LiV2Si4O14 | PBE+U | optimized geometry

Space-group type: Amm2

Structure (POSCAR):
```
Sr2LiV2Si4O14
1.0
5.866 4.157 4.092
-6.887 -4.408 1.256
3.963 -6.058 0.473
V O Si Li Sr
2 14 4 1 2
direct
0.888 0.112 0.500
0.106 0.894 0.000
0.885 0.597 0.806
0.596 0.899 0.691
0.403 0.115 0.806
0.101 0.404 0.309
0.992 0.008 0.500
0.403 0.115 0.194
0.596 0.899 0.309
0.992 0.008 0.000
0.101 0.404 0.691
0.376 0.624 0.000
0.885 0.597 0.194
0.633 0.367 0.500
0.496 0.504 0.727
0.496 0.504 0.273
0.599 0.401 0.715
0.395 0.605 0.770
0.395 0.605 0.230
0.599 0.401 0.285
0.672 0.328 0.000
0.852 0.148 0.000
0.204 0.796 0.500
```

***

no.,offset from the most stable computed form (meV/atom)
1,0
2,37
3,50
4,26
5,68